Entry 1:
ZrNpPaTc | PBE | optimized geometry

Properties
E_form ... 0.135 eV/atom

Cell: 6.880 6.880 6.880 Å, 90.00 90.00 90.00°
Space group F-43m (No. 216)
Symmetry-distinct sites (fractional):
Zr 0.000 0.000 0.000 x4
Np 0.250 0.250 0.250 x4
Pa 0.000 0.000 0.500 x4
Tc 0.250 0.250 0.750 x4

***

Entry 2:
NpPa2Te6 | PBE | optimized geometry

Properties
Formation energy from raw total energies ... -0.69 eV/atom

Cell: 7.085 7.812 12.207 Å, 90.00 119.41 90.00°
Space group P2_1/c (No. 14)
Symmetry-distinct sites (fractional):
Np 0.000 0.000 0.000 x2
Pa 0.333 0.130 0.773 x4
Te 0.083 0.051 0.264 x4
Te 0.249 0.661 0.080 x4
Te 0.415 0.190 0.066 x4

***

Entry 3:
Np2PaTe6 | PBE | optimized geometry

Properties
Formation energy from raw total energies ... -0.64 eV/atom

Cell: 15.966 10.298 7.116 Å, 90.00 110.61 90.00°
Space group C2/c (No. 15)
Symmetry-distinct sites (fractional):
Np 0.232 0.002 0.463 x8
Pa 0.000 0.332 0.750 x4
Te 0.067 0.104 0.070 x8
Te 0.105 0.421 0.173 x8
Te 0.181 0.256 0.698 x8

***

Entry 4:
Np2PaTe4 | PBE | optimized geometry

Properties
Formation energy from raw total energies ... -0.62 eV/atom

Cell: 15.920 4.392 7.652 Å, 90.00 116.96 90.00°
Space group C2/m (No. 12)
Symmetry-distinct sites (fractional):
Np 0.244 0.000 0.237 x4
Pa 0.000 0.000 0.000 x2
Te 0.120 0.500 0.307 x4
Te 0.123 0.000 0.783 x4

***

Entry 5:
Np2Pa3Te8 | PBE | optimized geometry

Properties
Formation energy from raw total energies ... -0.64 eV/atom

Cell: 15.714 8.637 7.389 Å, 90.00 107.46 90.00°
Space group C2/m (No. 12)
Symmetry-distinct sites (fractional):
Np 0.243 0.000 0.331 x4
Pa 0.000 0.000 0.500 x2
Pa 0.000 0.255 0.000 x4
Te 0.118 0.500 0.904 x4
Te 0.119 0.257 0.417 x8
Te 0.123 0.000 0.910 x4

***

Entry 6:
NpPaTe3 | PBE | optimized geometry

Properties
Formation energy from raw total energies ... -0.75 eV/atom
Energy relative to the lowest polymorph listed for this composition ... 0.0 meV per atom

Cell: 8.295 4.304 17.043 Å, 90.00 90.00 90.00°
Space group Pnma (No. 62)
Symmetry-distinct sites (fractional):
Np 0.103 0.250 0.207 x4
Pa 0.237 0.750 0.458 x4
Te 0.003 0.750 0.606 x4
Te 0.118 0.750 0.070 x4
Te 0.172 0.250 0.779 x4

***

Entry 7:
NpPaTe2 | PBE | optimized geometry

Properties
Formation energy from raw total energies ... -0.59 eV/atom
Energy relative to the lowest polymorph listed for this composition ... 0.0 meV per atom

Cell: 3.750 3.750 7.543 Å, 90.00 90.00 90.00°
Space group P4/mmm (No. 123)
Symmetry-distinct sites (fractional):
Np 0.000 0.000 0.000 x1
Pa 0.000 0.000 0.500 x1
Te 0.500 0.500 0.255 x2

***

Entry 8:
NpPaTe2 | PBE | optimized geometry

Properties
Formation energy from raw total energies ... -0.59 eV/atom
Energy relative to the lowest polymorph listed for this composition ... 2.3 meV per atom

Cell: 7.523 7.523 7.523 Å, 90.00 90.00 90.00°
Space group Fm-3m (No. 225)
Symmetry-distinct sites (fractional):
Np 0.000 0.000 0.000 x4
Pa 0.000 0.000 0.500 x4
Te 0.250 0.250 0.250 x8

***

Entry 9:
NpPaTe3 | PBE | optimized geometry

Properties
Formation energy from raw total energies ... -0.64 eV/atom
Energy relative to the lowest polymorph listed for this composition ... 104.5 meV per atom

Cell: 4.405 21.976 7.622 Å, 90.00 90.00 90.00°
Space group Cmc2_1 (No. 36)
Symmetry-distinct sites (fractional):
Np 0.000 0.164 0.000 x4
Pa 0.000 0.337 0.000 x4
Te 0.000 0.086 0.338 x4
Te 0.000 0.250 0.666 x4
Te 0.000 0.413 0.329 x4

***

Entry 10:
NpPaTe2 | PBE | optimized geometry

Properties
Formation energy from raw total energies ... -0.07 eV/atom
Energy relative to the lowest polymorph listed for this composition ... 517.5 meV per atom

Cell: 3.7593 3.7593 31.6366 Å, 90.00 90.00 120.00°
Space group R-3m (No. 166, hexagonal axes)
Symmetry-distinct sites (fractional):
Np 0.0000 0.0000 0.0000 x3
Pa 0.0000 0.0000 0.5000 x3
Te 0.0000 0.0000 0.0976 x6

***

Entry 11:
Np2PaTl3Te6 | PBE | optimized geometry

Properties
Formation energy from raw total energies ... -0.59 eV/atom

Cell: 7.668 13.278 8.702 Å, 90.00 107.06 90.00°
Space group C2/m (No. 12)
Symmetry-distinct sites (fractional):
Np 0.000 0.166 0.000 x4
Pa 0.000 0.500 0.000 x2
Tl 0.000 0.000 0.500 x2
Tl 0.000 0.331 0.500 x4
Te 0.236 0.336 0.216 x8
Te 0.245 0.000 0.218 x4

***

Entry 12:
Np3PaTl3Te8 | PBE | optimized geometry

Properties
Formation energy from raw total energies ... -0.60 eV/atom

Cell: 15.481 8.909 9.728 Å, 90.00 122.00 90.00°
Space group C2/m (No. 12)
Symmetry-distinct sites (fractional):
Np 0.000 0.000 0.000 x2
Np 0.250 0.250 0.000 x4
Pa 0.000 0.500 0.000 x2
Tl 0.000 0.500 0.500 x2
Tl 0.250 0.250 0.500 x4
Te 0.010 0.256 0.786 x8
Te 0.234 0.500 0.212 x4
Te 0.239 0.000 0.216 x4